Entry 1:
Below is a relaxed structure of Gd4PbBrN2, with properties calculated at the GGA-PBE level.

a = 3.5930 Å, b = 3.5930 Å, c = 15.0068 Å
α = 90.00°, β = 90.00°, γ = 120.00°
Space group P-6m2 (No. 187)
Unique sites:
Gd 0.0000 0.0000 0.1507
Gd 0.6667 0.3333 0.3231
Pb 0.0000 0.0000 0.5000
Br 0.6667 0.3333 0.0000
N 0.3333 0.6667 0.2358

Output
**Total energy**: -50.7 eV per cell

---

Entry 2:
Below is a relaxed structure of K2NaReF6, with properties calculated at the GGA-PBE level.

a = 5.7471 Å, b = 5.7471 Å, c = 8.4756 Å
α = 90.00°, β = 90.00°, γ = 90.00°
Space group I4/m (No. 87)
Unique sites:
K 0.0000 0.5000 0.2500
Na 0.0000 0.0000 0.0000
Re 0.0000 0.0000 0.5000
F 0.0000 0.0000 0.2561
F 0.1860 0.7012 0.5000

Output
**Total energy**: -100.1 eV per cell

---

Entry 3:
Below is a relaxed structure of BaGa2Pt2, with properties calculated at the GGA-PBE level.

a = 8.6038 Å, b = 6.5776 Å, c = 8.3097 Å
α = 90.00°, β = 96.18°, γ = 90.00°
Space group P2_1/c (No. 14)
Unique sites:
Ba 0.2333 0.1114 0.0018
Ga 0.0721 0.5779 0.8710
Ga 0.4446 0.6528 0.1948
Pt 0.1482 0.6688 0.1720
Pt 0.3708 0.5987 0.8967

Output
**Total energy**: -96.8 eV per cell

---

Entry 4:
Below is a relaxed structure of TlCuNiTeS2, with properties calculated at the GGA-PBE level.

a = 3.4460 Å, b = 15.0693 Å, c = 10.1016 Å
α = 90.00°, β = 90.00°, γ = 90.00°
Space group Cmcm (No. 63)
Unique sites:
Tl 0.0000 0.2285 0.2500
Cu 0.0000 0.4368 0.7500
Ni 0.0000 0.0000 0.0000
Te 0.0000 0.0736 0.7500
S 0.0000 0.4024 0.5337

Output
**Total energy**: -96.0 eV per cell

---

Entry 5:
Below is a relaxed structure of BaHfHg, with properties calculated at the GGA-PBE level.

a = 3.5917 Å, b = 3.5917 Å, c = 13.8827 Å
α = 90.00°, β = 90.00°, γ = 90.00°
Space group P4/nmm (No. 129, origin choice 2)
Unique sites:
Ba 0.2500 0.2500 0.1392
Hf 0.2500 0.2500 0.4354
Hg 0.2500 0.2500 0.6841

Output
**Excess energy over the best structure of this formula in the dataset**: 0.0 kJ/mol of atoms
**Total energy**: -24.9 eV per cell

---

Entry 6:
Below is a relaxed structure of TaCuSnPt, with properties calculated at the GGA-PBE level.

a = 6.4652 Å, b = 6.4652 Å, c = 6.4652 Å
α = 90.00°, β = 90.00°, γ = 90.00°
Space group F-43m (No. 216)
Unique sites:
Ta 0.0000 0.0000 0.0000
Cu 0.2500 0.2500 0.7500
Sn 0.0000 0.0000 0.5000
Pt 0.2500 0.2500 0.2500

Output
**Excess energy over the best structure of this formula in the dataset**: 0.0 kJ/mol of atoms
**Total energy**: -102.8 eV per cell

---

- Which value of total energy does entry 4 give?
  -96.0 eV per cell